Arrangement 1

Compound: ReCl5
Source: OQMD
Functional: PBE
Structure: optimized geometry

a b c (Å): 9.281 11.621 12.119
angles (deg): 90.00 109.16 90.00
Positions (direct):
Cl  0.402  0.261  0.037
Cl  0.216  0.987  0.059
Cl  0.208  0.491  0.064
Cl  0.017  0.760  0.084
Cl  0.791  0.261  0.136
Cl  0.599  0.984  0.156
Cl  0.593  0.488  0.160
Cl  0.404  0.758  0.184
Cl  0.210  0.254  0.221
Cl  0.024  0.997  0.244
Cl  0.976  0.497  0.256
Cl  0.790  0.754  0.279
Cl  0.596  0.258  0.316
Cl  0.407  0.988  0.340
Cl  0.401  0.484  0.344
Cl  0.209  0.761  0.364
Cl  0.983  0.260  0.416
Cl  0.792  0.991  0.436
Cl  0.784  0.487  0.441
Cl  0.598  0.761  0.463
Cl  0.402  0.239  0.537
Cl  0.216  0.513  0.559
Cl  0.208  0.009  0.564
Cl  0.017  0.740  0.584
Cl  0.791  0.239  0.636
Cl  0.599  0.516  0.656
Cl  0.593  0.012  0.660
Cl  0.404  0.742  0.684
Cl  0.210  0.246  0.721
Cl  0.024  0.503  0.744
Cl  0.976  0.003  0.756
Cl  0.790  0.746  0.779
Cl  0.596  0.242  0.816
Cl  0.407  0.512  0.840
Cl  0.401  0.016  0.844
Cl  0.209  0.739  0.864
Cl  0.983  0.240  0.916
Cl  0.792  0.509  0.936
Cl  0.784  0.013  0.941
Cl  0.598  0.739  0.963
Re  0.381  0.372  0.185
Re  0.192  0.876  0.207
Re  0.808  0.376  0.293
Re  0.619  0.872  0.315
Re  0.381  0.128  0.685
Re  0.192  0.624  0.707
Re  0.808  0.124  0.793
Re  0.619  0.628  0.815

Output
Volume   25.7 Å³/atom



Arrangement 2

Compound: ReCl5
Source: OQMD
Functional: PBE
Structure: optimized geometry

a b c (Å): 7.333 7.333 7.950
angles (deg): 90.00 90.00 120.00
Positions (direct):
Cl  0.667  0.333  0.041
Cl  0.159  0.318  0.250
Cl  0.159  0.841  0.250
Cl  0.682  0.841  0.250
Cl  0.667  0.333  0.459
Cl  0.333  0.667  0.541
Cl  0.318  0.159  0.750
Cl  0.841  0.159  0.750
Cl  0.841  0.682  0.750
Cl  0.333  0.667  0.959
Re  0.333  0.667  0.250
Re  0.667  0.333  0.750

Output
Volume   30.9 Å³/atom



Arrangement 3

Compound: ReCl5
Source: OQMD
Functional: PBE
Structure: optimized geometry

a b c (Å): 6.217 6.776 9.180
angles (deg): 108.97 90.90 116.27
Positions (direct):
Cl  0.758  0.818  0.044
Cl  0.885  0.372  0.143
Cl  0.301  0.008  0.241
Cl  0.435  0.567  0.333
Cl  0.936  0.191  0.426
Cl  0.064  0.809  0.574
Cl  0.565  0.433  0.667
Cl  0.699  0.992  0.759
Cl  0.115  0.628  0.857
Cl  0.242  0.182  0.956
Re  0.102  0.210  0.211
Re  0.898  0.790  0.789

Output
Volume   26.8 Å³/atom



Stability ranking, top entry: arrangement 3; the second entry is 0.008 eV/atom less favorable.



Arrangement 1

Compound: ZnS8Cl2
Source: OQMD
Functional: PBE
Structure: optimized geometry

a b c (Å): 6.347 6.822 8.291
angles (deg): 72.69 68.29 63.42
Positions (direct):
Cl  0.211  0.234  0.069
Cl  0.789  0.766  0.931
S  0.504  0.384  0.235
S  0.934  0.786  0.263
S  0.349  0.169  0.288
S  0.238  0.678  0.344
S  0.762  0.322  0.656
S  0.651  0.831  0.712
S  0.066  0.214  0.737
S  0.496  0.616  0.765
Zn  0.000  0.000  0.000

Output
Volume   26.8 Å³/atom



Arrangement 2

Compound: ZnS8Cl2
Source: OQMD
Functional: PBE
Structure: optimized geometry

a b c (Å): 7.964 7.964 7.964
angles (deg): 44.62 44.62 44.62
Positions (direct):
Cl  0.330  0.330  0.330
Cl  0.670  0.670  0.670
S  0.146  0.146  0.146
S  0.748  0.749  0.245
S  0.755  0.252  0.251
S  0.251  0.755  0.252
S  0.749  0.245  0.748
S  0.245  0.748  0.749
S  0.252  0.251  0.755
S  0.854  0.854  0.854
Zn  0.000  0.000  0.000

Output
Volume   20.6 Å³/atom



Stability ranking, top entry: arrangement 1; the second entry is 0.360 eV/atom less favorable.